A plane-wave DFT calculation with PBE-GGA was carried out for an optimized crystal structure of BeAsCl2.

```
BeAsCl2
1.0
-0.468 2.565 1.821
-4.571 0.388 -1.720
-2.788 -3.010 3.523
Be As Cl
1 1 2
Direct
0.500 0.385 0.859
0.000 0.704 0.581
0.000 0.026 0.848
0.500 0.385 0.212
```

Output
ρ ... 3.1 g cm⁻³
Space group ... No. 6
Uncorrected formation energy ... -0.38 eV per atom

=====

A plane-wave DFT calculation with PBE-GGA was carried out for an optimized crystal structure of WSeCl2.

```
WSeCl2
1.0
4.970 -0.011 -0.009
3.990 2.963 -0.009
2.408 0.794 6.946
Se W Cl
1 1 2
Direct
0.571 0.571 0.375
0.276 0.276 0.375
0.899 0.899 0.104
0.754 0.754 0.646
```

Output
ρ ... 5.4 g cm⁻³
Space group ... No. 8
Uncorrected formation energy ... -0.36 eV per atom

=====

In meV/atom, the ΔE to the lowest computed polymorph values for the records above are, in order, 150; 88.